Record 1
# Co4MoAs, relaxed, DFT GGA-PBEsol
# **Energy of formation from the pure elements**: 202 meV/atom
# **Total moment**: 0.01 μB/f.u.
data_Co4MoAs
_chemical_formula_sum 'Co16 Mo4 As4'
_cell_length_a 6.5182
_cell_length_b 6.5182
_cell_length_c 6.5182
_cell_angle_alpha 90.00
_cell_angle_beta 90.00
_cell_angle_gamma 90.00
_symmetry_space_group_name_H-M 'F -4 3 m'
_symmetry_Int_Tables_number 216
_symmetry_space_group_name_Hall 'F -4 2 3'
loop_
_atom_site_label
_atom_site_type_symbol
_atom_site_fract_x
_atom_site_fract_y
_atom_site_fract_z
Co1 Co 0.1254 0.1254 0.1254
Mo1 Mo 0.0000 0.0000 0.5000
As1 As 0.2500 0.2500 0.7500

***

Record 2
# BeAlHg2, relaxed, DFT GGA-PBEsol
# **Energy of formation from the pure elements**: 504 meV/atom
# **Total moment**: 0.00 μB/f.u.
# **Polymorph energy (0 for the lowest one)**: 1.056 eV per formula unit
data_BeAlHg2
_chemical_formula_sum 'Be4 Al4 Hg8'
_cell_length_a 6.6703
_cell_length_b 6.6703
_cell_length_c 6.6703
_cell_angle_alpha 90.00
_cell_angle_beta 90.00
_cell_angle_gamma 90.00
_symmetry_space_group_name_H-M 'F -4 3 m'
_symmetry_Int_Tables_number 216
_symmetry_space_group_name_Hall 'F -4 2 3'
loop_
_atom_site_label
_atom_site_type_symbol
_atom_site_fract_x
_atom_site_fract_y
_atom_site_fract_z
Be1 Be 0.0000 0.0000 0.0000
Al1 Al 0.2500 0.2500 0.2500
Hg1 Hg 0.0000 0.0000 0.5000
Hg2 Hg 0.2500 0.2500 0.7500

***

Record 3
# Zn2CuP, relaxed, DFT GGA-PBEsol
# **Energy of formation from the pure elements**: 118 meV/atom
# **Total moment**: 0.00 μB/f.u.
data_Zn2CuP
_chemical_formula_sum 'Zn4 Cu2 P2'
_cell_length_a 3.7310
_cell_length_b 3.7402
_cell_length_c 7.7333
_cell_angle_alpha 90.00
_cell_angle_beta 90.00
_cell_angle_gamma 90.00
_symmetry_space_group_name_H-M 'I m m 2'
_symmetry_Int_Tables_number 44
loop_
_symmetry_equiv_pos_as_xyz
'x,y,z'
'-x,-y,z'
'-x,y,z'
'x,-y,z'
'x+1/2,y+1/2,z+1/2'
'-x+1/2,-y+1/2,z+1/2'
'-x+1/2,y+1/2,z+1/2'
'x+1/2,-y+1/2,z+1/2'
loop_
_atom_site_label
_atom_site_type_symbol
_atom_site_fract_x
_atom_site_fract_y
_atom_site_fract_z
Zn1 Zn 0.0000 0.0000 0.0000
Zn2 Zn 0.0000 0.5000 0.2491
Cu1 Cu 0.0000 0.5000 0.7506
P1 P 0.0000 0.0000 0.4983

***

Record 4
# CuAsI3, relaxed, DFT GGA-PBEsol
# **Total moment**: 0.00 μB/f.u.
# **Energy relative to the elements, uncorrected**: 0.561 eV per atom
data_CuAsI3
_chemical_formula_sum 'Cu1 As1 I3'
_cell_length_a 5.5690
_cell_length_b 5.5690
_cell_length_c 5.5690
_cell_angle_alpha 90.00
_cell_angle_beta 90.00
_cell_angle_gamma 90.00
_symmetry_space_group_name_H-M 'P m -3 m'
_symmetry_Int_Tables_number 221
_symmetry_space_group_name_Hall '-P 4 2 3'
loop_
_atom_site_label
_atom_site_type_symbol
_atom_site_fract_x
_atom_site_fract_y
_atom_site_fract_z
Cu1 Cu 0.0000 0.0000 0.0000
As1 As 0.5000 0.5000 0.5000
I1 I 0.0000 0.5000 0.5000

***

Record 5
# BeSiRh2, relaxed, DFT GGA-PBEsol
# **Total moment**: 0.00 μB/f.u.
# **Polymorph energy (0 for the lowest one)**: 0.000 eV per formula unit
# **Energy relative to the elements, uncorrected**: -0.876 eV per atom
data_BeSiRh2
_chemical_formula_sum 'Be4 Si4 Rh8'
_cell_length_a 5.6722
_cell_length_b 5.6722
_cell_length_c 5.6722
_cell_angle_alpha 90.00
_cell_angle_beta 90.00
_cell_angle_gamma 90.00
_symmetry_space_group_name_H-M 'F m -3 m'
_symmetry_Int_Tables_number 225
_symmetry_space_group_name_Hall '-F 4 2 3'
loop_
_atom_site_label
_atom_site_type_symbol
_atom_site_fract_x
_atom_site_fract_y
_atom_site_fract_z
Be1 Be 0.0000 0.0000 0.0000
Si1 Si 0.0000 0.0000 0.5000
Rh1 Rh 0.2500 0.2500 0.2500

***

Record 6
# BaHfSiSb2, relaxed, DFT GGA-PBEsol
# **Total moment**: 0.00 μB/f.u.
# **Energy relative to the elements, uncorrected**: 1.947 eV per atom
data_BaHfSiSb2
_chemical_formula_sum 'Ba1 Hf1 Si1 Sb2'
_cell_length_a 5.8618
_cell_length_b 5.8618
_cell_length_c 5.5308
_cell_angle_alpha 90.00
_cell_angle_beta 90.00
_cell_angle_gamma 90.00
_symmetry_space_group_name_H-M 'P 4/m m m'
_symmetry_Int_Tables_number 123
_symmetry_space_group_name_Hall '-P 4 2'
loop_
_atom_site_label
_atom_site_type_symbol
_atom_site_fract_x
_atom_site_fract_y
_atom_site_fract_z
Ba1 Ba 0.0000 0.0000 0.0000
Hf1 Hf 0.0000 0.0000 0.5000
Si1 Si 0.5000 0.5000 0.5000
Sb1 Sb 0.0000 0.5000 0.0000

***

Record 7
# BiTePd2, relaxed, DFT GGA-PBEsol
# **Total moment**: 0.00 μB/f.u.
# **Energy relative to the elements, uncorrected**: -0.109 eV per atom
data_BiTePd2
_chemical_formula_sum 'Bi4 Te4 Pd8'
_cell_length_a 4.7494
_cell_length_b 4.7494
_cell_length_c 16.5778
_cell_angle_alpha 90.00
_cell_angle_beta 90.00
_cell_angle_gamma 90.00
_symmetry_space_group_name_H-M 'I -4 2 d'
_symmetry_Int_Tables_number 122
_symmetry_space_group_name_Hall 'I -4 2bw'
loop_
_atom_site_label
_atom_site_type_symbol
_atom_site_fract_x
_atom_site_fract_y
_atom_site_fract_z
Bi1 Bi 0.0000 0.0000 0.0000
Te1 Te 0.0000 0.0000 0.5000
Pd1 Pd 0.1923 0.2500 0.6250

***

Record 8
# Li2MgCo3O8, relaxed, DFT GGA-PBEsol
# **Total moment**: 3.02 μB/f.u.
# **Polymorph energy (0 for the lowest one)**: 0.000 eV per formula unit
# **Energy relative to the elements, uncorrected**: -1.448 eV per atom
data_Li2MgCo3O8
_chemical_formula_sum 'Li4 Mg2 Co6 O16'
_cell_length_a 9.8238
_cell_length_b 5.6266
_cell_length_c 5.7528
_cell_angle_alpha 90.00
_cell_angle_beta 124.36
_cell_angle_gamma 90.00
_symmetry_space_group_name_H-M 'C 1 2/m 1'
_symmetry_Int_Tables_number 12
loop_
_symmetry_equiv_pos_as_xyz
'x,y,z'
'-x,-y,-z'
'-x,y,-z'
'x,-y,z'
'x+1/2,y+1/2,z'
'-x+1/2,-y+1/2,-z'
'-x+1/2,y+1/2,-z'
'x+1/2,-y+1/2,z'
loop_
_atom_site_label
_atom_site_type_symbol
_atom_site_fract_x
_atom_site_fract_y
_atom_site_fract_z
Li1 Li 0.0000 0.0000 0.0000
Li2 Li 0.0000 0.5000 0.0000
Mg1 Mg 0.0000 0.0000 0.5000
Co1 Co 0.0000 0.5000 0.5000
Co2 Co 0.2500 0.2500 0.5000
O1 O 0.0207 0.2652 0.2881
O2 O 0.2331 0.5000 0.7000
O3 O 0.2483 0.0000 0.7046

***

Which of these has the highest total moment? Li2MgCo3O8

***

Among the records above, which one has the highest total moment? Li2MgCo3O8

***

Which value of total moment does entry 8 give? 3.02 μB/f.u.